Run a
Density functional theory data (PBE-GGA) for crystalline Tl4O at its relaxed geometry.

ρ in g/cm3: 9.95

a b c (Å): 3.523 3.520 12.953
angles (deg): 89.78 90.00 120.03
Element x y z (fractional)
1 Tl 0.668 0.336 0.382
2 Tl 0.332 0.664 0.618
3 O 0.000 0.000 0.000
4 Tl 0.335 0.669 0.880
5 Tl 0.665 0.331 0.120

***

Run b
Density functional theory data (PBE-GGA) for crystalline Tl4O at its relaxed geometry.

ρ in g/cm3: 9.87

a b c (Å): 5.195 5.195 5.195
angles (deg): 90.00 90.00 90.00
Element x y z (fractional)
1 Tl 0.000 0.500 0.500
2 O 0.500 0.500 0.500
3 Tl 0.500 0.500 0.000
4 Tl 0.500 0.000 0.500
5 Tl 0.000 0.000 0.000

***

Short version: run a is the most stable of them.

***

Run a
Density functional theory data (PBE-GGA) for crystalline TlO at its relaxed geometry.

ρ in g/cm3: 10.47

a b c (Å): 3.575 3.575 21.947
angles (deg): 90.00 90.00 94.47
Element x y z (fractional)
1 O 0.789 0.711 0.960
2 Tl 0.851 0.649 0.061
3 O 0.330 0.170 0.710
4 Tl 0.271 0.229 0.811
5 O 0.289 0.211 0.040
6 O 0.333 0.167 0.209
7 Tl 0.775 0.725 0.690
8 O 0.830 0.670 0.290
9 Tl 0.273 0.227 0.440
10 O 0.833 0.667 0.791
11 O 0.828 0.672 0.460
12 Tl 0.351 0.149 0.939
13 Tl 0.275 0.225 0.310
14 O 0.328 0.172 0.540
15 Tl 0.771 0.729 0.189
16 Tl 0.773 0.727 0.560

***

Run b
Density functional theory data (PBE-GGA) for crystalline TlO at its relaxed geometry.

ρ in g/cm3: 7.31

a b c (Å): 9.382 9.382 3.939
angles (deg): 90.00 90.00 120.00
Element x y z (fractional)
1 O 0.078 0.412 0.750
2 O 0.588 0.666 0.750
3 Tl 0.593 0.916 0.750
4 Tl 0.677 0.593 0.250
5 O 0.412 0.334 0.250
6 Tl 0.407 0.084 0.250
7 O 0.334 0.922 0.750
8 O 0.666 0.078 0.250
9 Tl 0.323 0.407 0.750
10 Tl 0.084 0.677 0.750
11 O 0.922 0.588 0.250
12 Tl 0.916 0.323 0.250

***

Run c
Density functional theory data (PBE-GGA) for crystalline TlO at its relaxed geometry.

ρ in g/cm3: 8.93

a b c (Å): 11.007 3.584 6.231
angles (deg): 90.00 90.00 90.00
Element x y z (fractional)
1 Tl 0.500 0.087 0.250
2 Tl 0.675 0.731 0.795
3 Tl 0.000 0.913 0.750
4 O 0.275 0.750 0.157
5 Tl 0.175 0.269 0.295
6 O 0.725 0.750 0.157
7 O 0.225 0.250 0.657
8 O 0.000 0.987 0.349
9 Tl 0.325 0.731 0.795
10 Tl 0.825 0.269 0.295
11 O 0.775 0.250 0.657
12 O 0.500 0.013 0.849

***

Short version: run a is the most stable of them.

***

Run a
Density functional theory data (PBE-GGA) for crystalline TlO at its relaxed geometry.

ρ in g/cm3: 9.40

a b c (Å): 3.691 5.086 12.441
angles (deg): 90.00 90.00 90.00
Element x y z (fractional)
1 O 0.500 0.514 0.500
2 O 0.500 0.990 0.856
3 Tl 0.000 0.719 0.815
4 Tl 0.500 0.281 0.685
5 O 0.000 0.010 0.356
6 Tl 0.500 0.281 0.315
7 Tl 0.000 0.765 0.500
8 Tl 0.000 0.719 0.185
9 O 0.000 0.486 0.000
10 O 0.500 0.990 0.144
11 Tl 0.500 0.235 0.000
12 O 0.000 0.010 0.644

***

Run b
Density functional theory data (PBE-GGA) for crystalline TlO at its relaxed geometry.

ρ in g/cm3: 7.18

a b c (Å): 6.736 6.736 6.736
angles (deg): 90.00 90.00 90.00
Element x y z (fractional)
1 O 0.500 0.250 0.000
2 Tl 0.500 0.000 0.750
3 O 0.000 0.500 0.750
4 Tl 0.750 0.500 0.000
5 O 0.500 0.750 0.000
6 O 0.750 0.000 0.500
7 O 0.250 0.000 0.500
8 Tl 0.000 0.750 0.500
9 Tl 0.250 0.500 0.000
10 O 0.000 0.500 0.250
11 Tl 0.500 0.000 0.250
12 Tl 0.000 0.250 0.500

***

Short version: run a is the most stable of them.

***

Run a
Density functional theory data (PBE-GGA) for crystalline TlO at its relaxed geometry.

ρ in g/cm3: 7.01

a b c (Å): 7.474 7.474 7.474
angles (deg): 90.00 90.00 90.00
Element x y z (fractional)
1 O 0.160 0.840 0.840
2 Tl 0.165 0.165 0.835
3 Tl 0.835 0.165 0.165
4 O 0.160 0.160 0.160
5 Tl 0.835 0.835 0.835
6 Tl 0.335 0.665 0.665
7 O 0.340 0.660 0.340
8 O 0.660 0.660 0.660
9 O 0.840 0.160 0.840
10 Tl 0.165 0.835 0.165
11 Tl 0.665 0.665 0.335
12 Tl 0.665 0.335 0.665
13 O 0.340 0.340 0.660
14 O 0.660 0.340 0.340
15 Tl 0.335 0.335 0.335
16 O 0.840 0.840 0.160

***

Run b
Density functional theory data (PBE-GGA) for crystalline TlO at its relaxed geometry.

ρ in g/cm3: 8.95

a b c (Å): 5.468 5.468 5.468
angles (deg): 90.00 90.00 90.00
Element x y z (fractional)
1 Tl 0.000 0.000 0.000
2 O 0.250 0.750 0.750
3 Tl 0.500 0.000 0.500
4 O 0.750 0.750 0.250
5 Tl 0.500 0.500 0.000
6 Tl 0.000 0.500 0.500
7 O 0.250 0.250 0.250
8 O 0.750 0.250 0.750

***

Run c
Density functional theory data (PBE-GGA) for crystalline TlO at its relaxed geometry.

ρ in g/cm3: 11.38

a b c (Å): 3.180 3.180 3.180
angles (deg): 90.00 90.00 90.00
Element x y z (fractional)
1 Tl 0.000 0.000 0.000
2 O 0.500 0.500 0.500

***

Short version: run b is the most stable of them.

***

Run a
Density functional theory data (PBE-GGA) for crystalline TlO at its relaxed geometry.

ρ in g/cm3: 8.92

a b c (Å): 3.863 3.863 6.351
angles (deg): 90.00 90.00 120.00
Element x y z (fractional)
1 O 0.333 0.667 0.354
2 Tl 0.333 0.667 0.728
3 O 0.667 0.333 0.854
4 Tl 0.667 0.333 0.228

***

Run b
Density functional theory data (PBE-GGA) for crystalline TlO at its relaxed geometry.

ρ in g/cm3: 8.45

a b c (Å): 3.703 3.703 14.584
angles (deg): 90.00 90.00 120.00
Element x y z (fractional)
1 Tl 0.000 0.000 0.823
2 O 0.333 0.667 0.274
3 Tl 0.333 0.667 0.057
4 Tl 0.000 0.000 0.323
5 O 0.000 0.000 0.971
6 O 0.667 0.333 0.774
7 Tl 0.667 0.333 0.557
8 O 0.000 0.000 0.471

***

Run c
Density functional theory data (PBE-GGA) for crystalline TlO at its relaxed geometry.

ρ in g/cm3: 6.93

a b c (Å): 10.621 10.621 3.745
angles (deg): 90.00 90.00 90.00
Element x y z (fractional)
1 Tl 0.244 0.575 0.500
2 O 0.735 0.633 0.500
3 O 0.560 0.864 0.000
4 Tl 0.322 0.903 0.000
5 Tl 0.425 0.244 0.500
6 O 0.136 0.560 0.000
7 O 0.367 0.735 0.500
8 Tl 0.097 0.322 0.000
9 O 0.265 0.367 0.500
10 Tl 0.756 0.425 0.500
11 O 0.633 0.265 0.500
12 Tl 0.903 0.678 0.000
13 Tl 0.575 0.756 0.500
14 O 0.864 0.440 0.000
15 O 0.440 0.136 0.000
16 Tl 0.678 0.097 0.000

***

Run d
Density functional theory data (PBE-GGA) for crystalline TlO at its relaxed geometry.

ρ in g/cm3: 7.49

a b c (Å): 10.056 10.056 3.865
angles (deg): 90.00 90.00 90.00
Element x y z (fractional)
1 Tl 0.281 0.889 0.500
2 Tl 0.781 0.389 0.000
3 Tl 0.219 0.611 0.000
4 O 0.118 0.714 0.500
5 O 0.618 0.214 0.000
6 O 0.382 0.786 0.000
7 O 0.714 0.882 0.500
8 Tl 0.111 0.281 0.500
9 Tl 0.719 0.111 0.500
10 Tl 0.389 0.219 0.000
11 O 0.214 0.382 0.000
12 O 0.786 0.618 0.000
13 O 0.882 0.286 0.500
14 Tl 0.889 0.719 0.500
15 O 0.286 0.118 0.500
16 Tl 0.611 0.781 0.000

***

Short version: run c is the most stable of them.

***

Run a
Density functional theory data (PBE-GGA) for crystalline TlO at its relaxed geometry.

ρ in g/cm3: 8.45

a b c (Å): 6.726 6.726 3.831
angles (deg): 90.00 90.00 90.00
Element x y z (fractional)
1 O 0.820 0.820 0.500
2 Tl 0.678 0.678 0.000
3 O 0.680 0.320 0.000
4 Tl 0.822 0.178 0.500
5 O 0.180 0.180 0.500
6 Tl 0.178 0.822 0.500
7 Tl 0.322 0.322 0.000
8 O 0.320 0.680 0.000

***

Run b
Density functional theory data (PBE-GGA) for crystalline TlO at its relaxed geometry.

ρ in g/cm3: 10.77

a b c (Å): 3.636 3.636 3.636
angles (deg): 60.00 60.00 60.00
Element x y z (fractional)
1 Tl 0.000 0.000 0.000
2 O 0.500 0.500 0.500

***

Short version: run a is the most stable of them.